1.
# Sr3CaBr2Cl6 GGA-PBE optimized geometry
# density = 2.7 g/cm3
# D(E_F) = 0.000 states/eV per atom
# E_tot = -4.13 eV per atom
data_Sr3CaBr2Cl6
_chemical_formula_sum 'Sr3 Ca1 Br2 Cl6'
_cell_length_a 6.408
_cell_length_b 8.591
_cell_length_c 8.609
_cell_angle_alpha 119.93
_cell_angle_beta 86.99
_cell_angle_gamma 90.00
_space_group_name_H-M_alt 'P 1'
_space_group_IT_number 1
_space_group_name_Hall 'P 1'
loop_
_atom_site_label
_atom_site_type_symbol
_atom_site_fract_x
_atom_site_fract_y
_atom_site_fract_z
_atom_site_occupancy
Br1 Br 0.783 0.322 0.644 1
Ca1 Ca 0.500 0.000 0.000 1
Cl1 Cl 0.730 0.318 0.149 1
Cl2 Cl 0.270 0.682 0.851 1
Sr1 Sr 0.000 0.500 0.000 1
Cl3 Cl 0.285 0.165 0.329 1
Br2 Br 0.217 0.678 0.356 1
Sr2 Sr 0.500 0.500 0.500 1
Cl4 Cl 0.730 0.831 0.149 1
Sr3 Sr 0.500 0.000 0.500 1
Cl5 Cl 0.715 0.835 0.671 1
Cl6 Cl 0.270 0.169 0.851 1


2.
# Nb4Te5Se GGA-PBE optimized geometry
# density = 7.2 g/cm3
# D(E_F) = 0.548 states/eV per atom
# E_tot = -6.30 eV per atom
data_Nb4Te5Se
_chemical_formula_sum 'Nb4 Te5 Se1'
_cell_length_a 3.513
_cell_length_b 8.597
_cell_length_c 8.494
_cell_angle_alpha 95.71
_cell_angle_beta 101.93
_cell_angle_gamma 90.00
_space_group_name_H-M_alt 'P 1'
_space_group_IT_number 1
_space_group_name_Hall 'P 1'
loop_
_atom_site_label
_atom_site_type_symbol
_atom_site_fract_x
_atom_site_fract_y
_atom_site_fract_z
_atom_site_occupancy
Te1 Te 0.181 0.372 0.361 1
Te2 Te 0.500 0.500 0.000 1
Te3 Te 0.819 0.628 0.639 1
Te4 Te 0.169 0.864 0.337 1
Se1 Se 0.500 0.000 0.000 1
Te5 Te 0.831 0.136 0.663 1
Nb1 Nb 0.023 0.244 0.046 1
Nb2 Nb 0.349 0.875 0.698 1
Nb3 Nb 0.651 0.125 0.302 1
Nb4 Nb 0.977 0.756 0.954 1